## Na4Cr3AsO8 (PBE+U)

Data for an optimized crystal structure of Na4Cr3AsO8.

## Properties
Space group ... R-3m (166)
Final energy ... -6.222 eV per atom

Lattice parameters (Å, degrees): 6.193 6.476 6.193 118.57 120.00 90.00
Last column: magnetic moment on the atom in μB.
Atoms (fractional coordinates):
O (0.280, 0.297, 0.039)  -0.02
Cr (0.000, 0.500, 0.500)  3.00
Na (0.500, 0.000, 0.500)  0.00
Cr (0.500, 0.500, 0.000)  3.00
O (0.758, 0.297, 0.517)  -0.02
Na (0.000, 0.000, 0.000)  0.00
O (0.720, 0.703, 0.961)  -0.02
O (0.242, 0.703, 0.961)  -0.02
O (0.732, 0.696, 0.464)  -0.05
O (0.242, 0.703, 0.483)  -0.02
O (0.268, 0.304, 0.536)  -0.05
O (0.758, 0.297, 0.039)  -0.02
Cr (0.500, 0.500, 0.500)  3.00
Na (0.500, 0.000, 0.000)  0.00
As (0.000, 0.500, 0.000)  0.01
Na (0.000, 0.000, 0.500)  0.00